The following is a meta-GGA SCAN calculation of LiBe2Br at its PBEsol-relaxed geometry, from the Alexandria database.

## Properties
formation energy without anion corrections: 0.18 eV per formula unit
density of states at the Fermi level: 0.100 states/eV per atom

abc: 3.183 3.183 6.394
angles: 90.00 90.00 90.00
Space group P4mm (No. 99)
Asymmetric unit:
Li 0.000 0.000 0.000 (multiplicity 1)
Be 0.000 0.000 0.419 (multiplicity 1)
Be 0.500 0.500 0.450 (multiplicity 1)
Br 0.500 0.500 0.831 (multiplicity 1)